This record from Alexandria via LeMat-Bulk describes a relaxed MgCuBO4 crystal. The functional is PBE-GGA.

Total moment   2.03 μB/f.u.
Energy   -6.28 eV/atom
E_form (uncorrected)   -1.682 eV per atom

Unit cell a=4.855 b=4.855 c=6.017 alpha=90.00 beta=90.00 gamma=114.38
Atoms (fractional coordinates):
Mg 0.000 0.000 0.000
Mg 0.000 0.000 0.500
Cu 0.323 0.677 0.750
Cu 0.677 0.323 0.250
B 0.364 0.636 0.250
B 0.636 0.364 0.750
O 0.245 0.300 0.250
O 0.257 0.743 0.052
O 0.257 0.743 0.448
O 0.300 0.245 0.750
O 0.700 0.755 0.250
O 0.743 0.257 0.552
O 0.743 0.257 0.948
O 0.755 0.700 0.750